(1)
## PmPr2Ho5Th (PBE)

Data for PmPr2Ho5Th after structural relaxation.

extended XYZ file:
```
18
Lattice="2.8263 -10.0626 0.0000 2.8263 10.0626 0.0000 0.0000 0.0000 10.5519" Properties=species:S:1:pos:R:3 pbc="T T T"
Pm 2.8263 8.3035 5.2760
Pm 2.8263 -8.3035 0.0000
Pr 2.8263 2.3386 8.1953
Pr 2.8263 2.3074 3.8812
Pr 2.8263 -2.3074 9.1571
Pr 2.8263 -2.3386 2.9193
Ho 2.8263 9.6374 8.2897
Ho 2.8263 7.8284 0.7543
Ho 2.8263 6.0111 7.9859
Ho 2.8263 5.5860 3.8204
Ho 2.8263 0.3366 0.7603
Ho 2.8263 -0.3366 6.0363
Ho 2.8263 -5.5860 9.0964
Ho 2.8263 -6.0111 2.7100
Ho 2.8263 -7.8284 6.0302
Ho 2.8263 -9.6374 3.0138
Th 2.8263 4.0635 0.6379
Th 2.8263 -4.0635 5.9139
```

Calculated values
calculated formation energy	159.6	meV/atom
symmetry	Cmc2_1 (36)

(2)
## PmPr6Ho2Th (PBE)

Data for PmPr6Ho2Th after structural relaxation.

extended XYZ file:
```
20
Lattice="4.7200 -7.5771 0.0000 4.7200 7.5771 0.0000 -1.4561 0.0000 9.7763" Properties=species:S:1:pos:R:3 pbc="T T T"
Pm 3.6280 6.1479 7.3322
Pm 4.3560 -6.1479 2.4441
Pr 3.2720 5.9791 3.7206
Pr 2.5065 3.3017 1.8236
Pr 5.4400 5.9791 1.1675
Pr 3.2692 2.6310 5.4530
Pr 3.9867 2.6310 9.2114
Pr 6.2055 3.3017 3.0646
Pr 1.7785 -3.3017 6.7117
Pr 3.9973 -2.6310 0.5649
Pr 4.7148 -2.6310 4.3232
Pr 2.5440 -5.9791 8.6088
Pr 5.4775 -3.3017 7.9527
Pr 4.7120 -5.9791 6.0556
Ho 1.0635 0.6755 9.2788
Ho 1.7915 -0.6755 4.3906
Ho 6.1924 0.6755 5.3856
Ho 6.9205 -0.6755 0.4975
Th 4.3560 0.4483 2.4441
Th 3.6280 -0.4483 7.3322
```

Calculated values
calculated formation energy	138.8	meV/atom
symmetry	C2/c (15)

(3)
## Pm3PrHo6Th2 (PBE)

Data for Pm3PrHo6Th2 after structural relaxation.

extended XYZ file:
```
12
Lattice="3.1138 -5.3919 0.0000 3.1138 5.3919 0.0000 -2.0840 0.0000 11.5554" Properties=species:S:1:pos:R:3 pbc="T T T"
Pm 0.0000 0.0000 0.0000
Pm 3.1138 1.7928 0.0000
Pm 3.1138 -1.7928 0.0000
Pr 2.0718 0.0000 5.7777
Ho 1.0171 1.8245 2.9301
Ho -0.0347 0.0000 8.6278
Ho 1.0171 -1.8245 2.9301
Ho 3.1265 1.8245 8.6253
Ho 4.1783 0.0000 2.9276
Ho 3.1265 -1.8245 8.6253
Th 2.0718 3.5955 5.7777
Th 2.0718 -3.5955 5.7777
```

Calculated values
calculated formation energy	26.3	meV/atom
symmetry	C2/m (12)

(4)
## PmPrHo3Th (PBE)

Data for PmPrHo3Th after structural relaxation.

extended XYZ file:
```
12
Lattice="9.9047 -2.8182 0.0000 9.9047 2.8182 0.0000 -0.0467 0.0000 7.0785" Properties=species:S:1:pos:R:3 pbc="T T T"
Pm 2.9406 0.0000 0.2603
Pm 16.8221 0.0000 6.8182
Pr 2.8744 0.0000 3.2488
Pr 16.8883 0.0000 3.8297
Ho 0.4276 0.0000 5.3321
Ho 5.4894 0.0000 5.2876
Ho 6.7731 0.0000 1.7350
Ho 12.9895 0.0000 5.3435
Ho 14.2732 0.0000 1.7909
Ho 19.3351 0.0000 1.7464
Th 8.8004 0.0000 5.4167
Th 10.9623 0.0000 1.6618
```

Calculated values
calculated formation energy	216.5	meV/atom
symmetry	C2/m (12)

(5)
## Pm2Pr5HoTh (PBE)

Data for Pm2Pr5HoTh after structural relaxation.

extended XYZ file:
```
18
Lattice="2.7439 -11.0495 0.0000 2.7439 11.0495 0.0000 0.0000 0.0000 10.6380" Properties=species:S:1:pos:R:3 pbc="T T T"
Pm 2.7439 8.5579 5.3626
Pm 2.7439 8.5579 10.5944
Pm 2.7439 -8.5579 0.0436
Pm 2.7439 -8.5579 5.2754
Pr 2.7439 11.0153 2.6595
Pr 2.7439 4.9270 0.6222
Pr 2.7439 4.9270 4.6968
Pr 2.7439 2.8289 7.9785
Pr 2.7439 0.0000 0.0000
Pr 2.7439 0.0000 5.3190
Pr 2.7439 -2.8289 2.6595
Pr 2.7439 -4.9270 5.9411
Pr 2.7439 -4.9270 10.0158
Pr 2.7439 -11.0153 7.9785
Ho 2.7439 2.2615 2.6595
Ho 2.7439 -2.2615 7.9785
Th 2.7439 6.3868 7.9785
Th 2.7439 -6.3868 2.6595
```

Calculated values
calculated formation energy	134.4	meV/atom
symmetry	Cmcm (63)

(6)
## PmPrHo5Th2 (PBE)

Data for PmPrHo5Th2 after structural relaxation.

extended XYZ file:
```
18
Lattice="-4.4263 4.4263 7.6674 4.4263 -4.4263 7.6674 4.4263 4.4263 -7.6674" Properties=species:S:1:pos:R:3 pbc="T T T"
Pm 0.0000 0.0000 3.8337
Pm 0.0000 0.0000 11.5011
Pr 4.4263 0.0000 3.8337
Pr 0.0000 4.4263 3.8337
Ho 0.0000 0.0000 0.0000
Ho 6.2556 1.8292 -2.1012
Ho 1.8292 2.5971 -2.1012
Ho 6.2556 1.8292 2.1012
Ho 1.8292 2.5971 2.1012
Ho 0.0000 0.0000 7.6674
Ho 2.5971 1.8292 5.5662
Ho -1.8292 2.5971 5.5662
Ho 2.5971 1.8292 9.7686
Ho -1.8292 2.5971 9.7686
Th 3.3755 1.0508 0.0000
Th 3.3755 -1.0508 7.6674
Th 1.0508 5.4772 0.0000
Th 1.0508 3.3755 7.6674
```

Calculated values
calculated formation energy	320.5	meV/atom
symmetry	I4/mcm (140)

(7)
## Pm5PrHo2Th (PBE)

Data for Pm5PrHo2Th after structural relaxation.

extended XYZ file:
```
18
Lattice="2.8574 -10.2150 0.0000 2.8574 10.2150 0.0000 0.0000 0.0000 10.5552" Properties=species:S:1:pos:R:3 pbc="T T T"
Pm 2.8574 9.8939 5.2776
Pm 2.8574 4.5626 2.1916
Pm 2.8574 4.2138 8.6281
Pm 2.8574 2.2911 5.2295
Pm 2.8574 0.4709 8.2581
Pm 2.8574 -0.4709 2.9805
Pm 2.8574 -2.2911 10.5071
Pm 2.8574 -4.2138 3.3505
Pm 2.8574 -4.5626 7.4692
Pm 2.8574 -9.8939 0.0000
Pr 2.8574 1.8109 0.8037
Pr 2.8574 -1.8109 6.0813
Ho 2.8574 7.8914 8.3271
Ho 2.8574 7.8453 2.1424
Ho 2.8574 -7.8453 7.4200
Ho 2.8574 -7.8914 3.0496
Th 2.8574 6.1467 5.3725
Th 2.8574 -6.1467 0.0949
```

Calculated values
calculated formation energy	162.3	meV/atom
symmetry	Cmc2_1 (36)

(8)
## Pm5Pr2HoTh (PBE)

Data for Pm5Pr2HoTh after structural relaxation.

extended XYZ file:
```
18
Lattice="2.8596 -10.3373 0.0000 2.8596 10.3373 0.0000 0.0000 0.0000 10.6267" Properties=species:S:1:pos:R:3 pbc="T T T"
Pm 2.8596 10.0304 5.3134
Pm 2.8596 4.6468 8.4692
Pm 2.8596 4.2463 1.9844
Pm 2.8596 2.3732 5.3801
Pm 2.8596 0.3650 2.4019
Pm 2.8596 -0.3650 7.7152
Pm 2.8596 -2.3732 0.0667
Pm 2.8596 -4.2463 7.2978
Pm 2.8596 -4.6468 3.1558
Pm 2.8596 -10.0304 0.0000
Pr 2.8596 7.9563 2.2778
Pr 2.8596 7.9524 8.4636
Pr 2.8596 -7.9524 3.1502
Pr 2.8596 -7.9563 7.5912
Ho 2.8596 1.9613 10.0075
Ho 2.8596 -1.9613 4.6941
Th 2.8596 6.2328 5.2517
Th 2.8596 -6.2328 10.5651
```

Calculated values
calculated formation energy	146.7	meV/atom
symmetry	Cmc2_1 (36)

- What is the calculated formation energy in the third record?
  26.3 meV/atom

- What is the calculated formation energy in the seventh record?
  162.3 meV/atom

- Among the records above, which one has the highest calculated formation energy?
  PmPrHo5Th2

- calculated formation energy of number 5 (Pm2Pr5HoTh)?
  134.4 meV/atom